Rb2LaHf2 (GGA-PBEsol, optimized geometry); formation energy = 7.95 eV/f.u.; symmetry = I4/mmm, No. 139; spin magnetization = 0.0 μB per cell; final energy = -20.45 eV per formula unit
1.0
-3.052 -3.064 2.363
3.142 -0.206 3.791
-3.015 6.703 -0.340
Hf Rb La
2 2 1
Cartesian
0.086 2.431 3.264
-3.011 1.002 2.550
-2.294 3.914 2.113
-0.632 -0.481 3.700
0.000 0.000 0.000